VASP calculation (GGA-PBE) on an optimized crystal structure of CaLa8Y6.

Summary:
Volume: 525.1 Å³/f.u.
Space group: R-3, No. 148
Raw total energy: -5.1959 eV/atom
Magnetization: 0.01 μB/f.u.
Calculated formation energy: 0.1511 eV/atom

a = 8.4074 Å, b = 8.4074 Å, c = 8.4074 Å
α = 72.39°, β = 72.39°, γ = 72.39°
Last column: nearest neighbours and their distance in Å.
Fractional coordinates of all 15 atoms:
Ca (0.0000, 0.0000, 0.0000)  6 La 3.22
La (0.0490, 0.8618, 0.3871)  2 La 3.20-3.39, 1 Ca 3.22, 4 Y 3.47-3.56
La (0.1382, 0.6129, 0.9510)  2 La 3.20-3.39, 1 Ca 3.22, 4 Y 3.47-3.56
La (0.2372, 0.2372, 0.2372)  6 La 3.39-3.67
La (0.3871, 0.0490, 0.8618)  2 La 3.20-3.39, 1 Ca 3.22, 4 Y 3.47-3.56
La (0.6129, 0.9510, 0.1382)  2 La 3.20-3.39, 1 Ca 3.22, 4 Y 3.47-3.56
La (0.7628, 0.7628, 0.7628)  6 La 3.39-3.67
La (0.8618, 0.3871, 0.0490)  2 La 3.20-3.39, 1 Ca 3.22, 4 Y 3.47-3.56
La (0.9510, 0.1382, 0.6129)  2 La 3.20-3.39, 1 Ca 3.22, 4 Y 3.47-3.56
Y (0.1774, 0.4322, 0.6162)  7 La 3.47-3.87, 3 Y 3.76-3.79
Y (0.3838, 0.8226, 0.5678)  7 La 3.47-3.87, 3 Y 3.76-3.79
Y (0.4322, 0.6162, 0.1774)  7 La 3.47-3.87, 3 Y 3.76-3.79
Y (0.5678, 0.3838, 0.8226)  7 La 3.47-3.87, 3 Y 3.76-3.79
Y (0.6162, 0.1774, 0.4322)  7 La 3.47-3.87, 3 Y 3.76-3.79
Y (0.8226, 0.5678, 0.3838)  7 La 3.47-3.87, 3 Y 3.76-3.79

=====

VASP calculation (GGA-PBE) on an optimized crystal structure of Ac4AgPt2.

Summary:
Volume: 242.5 Å³/f.u.
Space group: Pnma, No. 62
Raw total energy: -5.2524 eV/atom
Relative energy among the computed polymorphs: 0.0 meV per atom
Magnetization: 0.00 μB/f.u.
Calculated formation energy: -0.7714 eV/atom

a = 13.5085 Å, b = 4.4667 Å, c = 16.0758 Å
α = 90.00°, β = 90.00°, γ = 90.00°
Last column: nearest neighbours and their distance in Å.
Fractional coordinates of all 28 atoms:
Ac (0.0207, 0.2500, 0.2130)  3 Pt 3.02-3.09
Ac (0.0815, 0.7500, 0.4215)  3 Pt 3.04-3.07
Ac (0.1292, 0.2500, 0.9741)  3 Pt 3.05-3.06
Ac (0.2094, 0.2500, 0.6703)  3 Pt 3.08
Ac (0.2906, 0.7500, 0.1703)  3 Pt 3.08
Ac (0.3708, 0.7500, 0.4741)  3 Pt 3.05-3.06
Ac (0.4185, 0.2500, 0.9215)  3 Pt 3.04-3.07
Ac (0.4793, 0.7500, 0.7130)  3 Pt 3.02-3.09
Ac (0.5207, 0.2500, 0.2870)  3 Pt 3.02-3.09
Ac (0.5815, 0.7500, 0.0785)  3 Pt 3.04-3.07
Ac (0.6292, 0.2500, 0.5259)  3 Pt 3.05-3.06
Ac (0.7094, 0.2500, 0.8297)  3 Pt 3.08
Ac (0.7906, 0.7500, 0.3297)  3 Pt 3.08
Ac (0.8708, 0.7500, 0.0259)  3 Pt 3.05-3.06
Ac (0.9185, 0.2500, 0.5785)  3 Pt 3.04-3.07
Ac (0.9793, 0.7500, 0.7870)  3 Pt 3.02-3.09
Ag (0.2436, 0.7500, 0.8346)  8 Ac 3.49-3.74
Ag (0.2564, 0.2500, 0.3346)  8 Ac 3.49-3.74
Ag (0.7436, 0.7500, 0.6654)  8 Ac 3.49-3.74
Ag (0.7564, 0.2500, 0.1654)  8 Ac 3.49-3.74
Pt (0.0693, 0.7500, 0.6101)  6 Ac 3.04-3.09
Pt (0.0799, 0.7500, 0.0972)  6 Ac 3.02-3.08
Pt (0.4201, 0.2500, 0.5972)  6 Ac 3.02-3.08
Pt (0.4307, 0.2500, 0.1101)  6 Ac 3.04-3.09
Pt (0.5693, 0.7500, 0.8899)  6 Ac 3.04-3.09
Pt (0.5799, 0.7500, 0.4028)  6 Ac 3.02-3.08
Pt (0.9201, 0.2500, 0.9028)  6 Ac 3.02-3.08
Pt (0.9307, 0.2500, 0.3899)  6 Ac 3.04-3.09